Entry i
Entry from Alexandria: a relaxed structure of Pm3Ga2Si3 (PBE).

The crystal system is orthorhombic. The total magnetization is 0.0 μB/f.u. The theoretical density comes out at 6.2 g/cm³.

It has space group Cmcm (No. 63), with a = 4.164 Å, b = 11.008 Å, c = 15.291 Å, α = 90.00°, β = 90.00° and γ = 90.00°. The asymmetric unit holds Pm at (0.000, 0.059, 0.250), Pm at (0.000, 0.356, 0.093), Ga at (0.000, 0.356, 0.621), Si at (0.000, 0.074, 0.054) and Si at (0.000, 0.214, 0.750).

Entry ii
Entry from Alexandria: a relaxed structure of Pm3Ga2Si3 (PBE).

The crystal system is orthorhombic. The total magnetization is 0.0 μB/f.u. The theoretical density comes out at 6.4 g/cm³.

It has space group Cmcm (No. 63), with a = 4.207 Å, b = 11.055 Å, c = 14.750 Å, α = 90.00°, β = 90.00° and γ = 90.00°. The asymmetric unit holds Pm at (0.000, 0.065, 0.114), Pm at (0.000, 0.353, 0.250), Ga at (0.000, 0.222, 0.602), Si at (0.000, 0.364, 0.750) and Si at (0.000, 0.387, 0.038).

Going by the energies, entry i is most stable and the next is 52 meV per atom up.

Entry i
Entry from Alexandria: a relaxed structure of Pm3GaSi (PBE).

The crystal system is monoclinic. The total magnetization is 0.0 μB/f.u. The theoretical density comes out at 6.5 g/cm³.

It has space group P2_1/c (No. 14), with a = 9.323 Å, b = 7.741 Å, c = 8.184 Å, α = 90.00°, β = 111.84° and γ = 90.00°. The asymmetric unit holds Pm at (0.057, 0.004, 0.205), Pm at (0.291, 0.677, 0.105), Pm at (0.350, 0.178, 0.980), Ga at (0.084, 0.150, 0.551) and Si at (0.420, 0.523, 0.839).

Entry ii
Entry from Alexandria: a relaxed structure of Pm3GaSi (PBE).

The crystal system is orthorhombic. The total magnetization is 0.0 μB/f.u. The theoretical density comes out at 6.1 g/cm³.

It has space group Pmmn (No. 59, origin choice 2), with a = 4.509 Å, b = 7.169 Å, c = 8.970 Å, α = 90.00°, β = 90.00° and γ = 90.00°. The asymmetric unit holds Pm at (0.250, 0.013, 0.172), Pm at (0.250, 0.250, 0.561), Ga at (0.250, 0.750, 0.660) and Si at (0.250, 0.250, 0.889).

Going by the energies, entry i is most stable and the next is 35 meV per atom up.

Entry i
Entry from Alexandria: a relaxed structure of Pm3Ga2Si (PBE).

The crystal system is monoclinic. The total magnetization is 0.0 μB/f.u. The theoretical density comes out at 6.9 g/cm³.

It has space group C2/c (No. 15), with a = 15.193 Å, b = 6.226 Å, c = 6.404 Å, α = 90.00°, β = 105.36° and γ = 90.00°. The asymmetric unit holds Pm at (0.000, 0.166, 0.250), Pm at (0.172, 0.385, 0.613), Ga at (0.156, 0.119, 0.027) and Si at (0.000, 0.325, 0.750).

Entry ii
Entry from Alexandria: a relaxed structure of Pm3Ga2Si (PBE).

The crystal system is orthorhombic. The total magnetization is 0.0 μB/f.u. The theoretical density comes out at 6.5 g/cm³.

It has space group Pnma (No. 62), with a = 12.134 Å, b = 4.098 Å, c = 12.318 Å, α = 90.00°, β = 90.00° and γ = 90.00°. The asymmetric unit holds Pm at (0.063, 0.250, 0.123), Pm at (0.116, 0.750, 0.553), Pm at (0.208, 0.250, 0.788), Ga at (0.023, 0.750, 0.310), Ga at (0.190, 0.750, 0.986) and Si at (0.132, 0.250, 0.370).

Going by the energies, entry ii is most stable and the next is 112 meV per atom up.

Entry i
Entry from Alexandria: a relaxed structure of Pm2SmGa (PBE).

The crystal system is orthorhombic. The total magnetization is 0.0 μB/f.u. The theoretical density comes out at 7.0 g/cm³.

It has space group Cmcm (No. 63), with a = 4.235 Å, b = 12.139 Å, c = 9.385 Å, α = 90.00°, β = 90.00° and γ = 90.00°. The asymmetric unit holds Pm at (0.000, 0.143, 0.055), Sm at (0.000, 0.440, 0.250) and Ga at (0.000, 0.244, 0.750).

Entry ii
Entry from Alexandria: a relaxed structure of Pm2SmGa (PBE).

The crystal system is cubic. The total magnetization is 1.1 μB/f.u. The theoretical density comes out at 7.4 g/cm³.

It has space group Fm-3m (No. 225), with a = 7.697 Å, b = 7.697 Å, c = 7.697 Å, α = 90.00°, β = 90.00° and γ = 90.00°. The asymmetric unit holds Pm at (0.250, 0.250, 0.250), Sm at (0.000, 0.000, 0.000) and Ga at (0.000, 0.000, 0.500).

Going by the energies, entry i is most stable and the next is 168 meV per atom up.

Entry i
Entry from Alexandria: a relaxed structure of Pm2SmGa (PBE).

The crystal system is orthorhombic. The total magnetization is 0.0 μB/f.u. The theoretical density comes out at 7.1 g/cm³.

It has space group Cmcm (No. 63), with a = 5.401 Å, b = 12.413 Å, c = 7.088 Å, α = 90.00°, β = 90.00° and γ = 90.00°. The asymmetric unit holds Pm at (0.000, 0.139, 0.026), Sm at (0.000, 0.439, 0.250) and Ga at (0.000, 0.323, 0.750).

Entry ii
Entry from Alexandria: a relaxed structure of Pm2SmGa (PBE).

The crystal system is tetragonal. The total magnetization is 0.0 μB/f.u. The theoretical density comes out at 7.6 g/cm³.

It has space group P4/mmm (No. 123), with a = 4.818 Å, b = 4.818 Å, c = 4.827 Å, α = 90.00°, β = 90.00° and γ = 90.00°. The asymmetric unit holds Pm at (0.000, 0.500, 0.000), Sm at (0.000, 0.000, 0.500) and Ga at (0.500, 0.500, 0.500).

Entry iii
Entry from Alexandria: a relaxed structure of Pm2SmGa (PBE).

The crystal system is trigonal. The total magnetization is 0.0 μB/f.u. The theoretical density comes out at 6.8 g/cm³.

It has space group R3m (No. 160, hexagonal axes), with a = 3.7101 Å, b = 3.7101 Å, c = 31.2416 Å, α = 90.00°, β = 90.00° and γ = 120.00°. The asymmetric unit holds Pm at (0.0000, 0.0000, 0.0000), Pm at (0.0000, 0.0000, 0.1922), Sm at (0.0000, 0.0000, 0.7625) and Ga at (0.0000, 0.0000, 0.5965).

Entry iv
Entry from Alexandria: a relaxed structure of Pm2SmGa (PBE).

The crystal system is trigonal. The total magnetization is 0.0 μB/f.u. The theoretical density comes out at 6.5 g/cm³.

It has space group R-3m (No. 166, hexagonal axes), with a = 3.5554 Å, b = 3.5554 Å, c = 35.8870 Å, α = 90.00°, β = 90.00° and γ = 120.00°. The asymmetric unit holds Pm at (0.0000, 0.0000, 0.0853), Sm at (0.0000, 0.0000, 0.5000) and Ga at (0.0000, 0.0000, 0.0000).

Going by the energies, entry ii is most stable and the next is 29 meV per atom up.

Entry i
Entry from Alexandria: a relaxed structure of PmSm2Ga (PBE).

The crystal system is trigonal. The total magnetization is 0.0 μB/f.u. The theoretical density comes out at 6.9 g/cm³.

It has space group R3m (No. 160, hexagonal axes), with a = 3.6994 Å, b = 3.6994 Å, c = 31.1848 Å, α = 90.00°, β = 90.00° and γ = 120.00°. The asymmetric unit holds Pm at (0.0000, 0.0000, 0.0000), Sm at (0.0000, 0.0000, 0.5699), Sm at (0.0000, 0.0000, 0.7629) and Ga at (0.0000, 0.0000, 0.1660).

Entry ii
Entry from Alexandria: a relaxed structure of PmSm2Ga (PBE).

The crystal system is orthorhombic. The total magnetization is 0.0 μB/f.u. The theoretical density comes out at 7.1 g/cm³.

It has space group Cmcm (No. 63), with a = 4.262 Å, b = 12.117 Å, c = 9.314 Å, α = 90.00°, β = 90.00° and γ = 90.00°. The asymmetric unit holds Pm at (0.000, 0.060, 0.250), Sm at (0.000, 0.356, 0.055) and Ga at (0.000, 0.254, 0.750).

Entry iii
Entry from Alexandria: a relaxed structure of PmSm2Ga (PBE).

The crystal system is tetragonal. The total magnetization is 0.0 μB/f.u. The theoretical density comes out at 7.7 g/cm³.

It has space group P4/mmm (No. 123), with a = 4.820 Å, b = 4.820 Å, c = 4.804 Å, α = 90.00°, β = 90.00° and γ = 90.00°. The asymmetric unit holds Pm at (0.000, 0.000, 0.000), Sm at (0.000, 0.500, 0.500) and Ga at (0.500, 0.500, 0.000).

Entry iv
Entry from Alexandria: a relaxed structure of PmSm2Ga (PBE).

The crystal system is tetragonal. The total magnetization is 0.0 μB/f.u. The theoretical density comes out at 7.3 g/cm³.

It has space group P4/mmm (No. 123), with a = 3.587 Å, b = 3.587 Å, c = 9.110 Å, α = 90.00°, β = 90.00° and γ = 90.00°. The asymmetric unit holds Pm at (0.000, 0.000, 0.000), Sm at (0.500, 0.500, 0.292) and Ga at (0.000, 0.000, 0.500).

Going by the energies, entry iv is most stable and the next is 21 meV per atom up.

Entry i
Entry from Alexandria: a relaxed structure of PmSm3Ga2 (PBE).

The crystal system is orthorhombic. The total magnetization is 0.0 μB/f.u. The theoretical density comes out at 6.4 g/cm³.

It has space group Ibam (No. 72), with a = 7.024 Å, b = 14.574 Å, c = 7.407 Å, α = 90.00°, β = 90.00° and γ = 90.00°. The asymmetric unit holds Pm at (0.000, 0.000, 0.000), Sm at (0.000, 0.225, 0.250), Sm at (0.000, 0.500, 0.250) and Ga at (0.199, 0.363, 0.000).

Entry ii
Entry from Alexandria: a relaxed structure of PmSm3Ga2 (PBE).

The crystal system is orthorhombic. The total magnetization is 0.0 μB/f.u. The theoretical density comes out at 7.4 g/cm³.

It has space group Pmc2_1 (No. 26), with a = 5.116 Å, b = 9.648 Å, c = 6.668 Å, α = 90.00°, β = 90.00° and γ = 90.00°. The asymmetric unit holds Pm at (0.000, 0.052, 0.000), Sm at (0.000, 0.328, 0.657), Sm at (0.500, 0.173, 0.295), Sm at (0.500, 0.447, 0.953), Ga at (0.000, 0.353, 0.187) and Ga at (0.500, 0.147, 0.765).

Going by the energies, entry ii is most stable and the next is 213 meV per atom up.

Entry i
Entry from Alexandria: a relaxed structure of Pm2SmGa6 (PBE).

The crystal system is orthorhombic. The total magnetization is 0.0 μB/f.u. The theoretical density comes out at 6.7 g/cm³.

It has space group Immm (No. 71), with a = 4.400 Å, b = 7.166 Å, c = 13.479 Å, α = 90.00°, β = 90.00° and γ = 90.00°. The asymmetric unit holds Pm at (0.000, 0.000, 0.130), Sm at (0.000, 0.500, 0.000), Ga at (0.000, 0.189, 0.321) and Ga at (0.000, 0.314, 0.500).

Entry ii
Entry from Alexandria: a relaxed structure of Pm2SmGa6 (PBE).

The crystal system is hexagonal. The total magnetization is 0.0 μB/f.u. The theoretical density comes out at 7.1 g/cm³.

It has space group P6/mmm (No. 191), with a = 7.3739 Å, b = 7.3739 Å, c = 4.2561 Å, α = 90.00°, β = 90.00° and γ = 120.00°. The asymmetric unit holds Pm at (0.3333, 0.6667, 0.0000), Sm at (0.0000, 0.0000, 0.0000) and Ga at (0.0000, 0.3331, 0.5000).

Going by the energies, entry ii is most stable and the next is 227 meV per atom up.